VASP calculation (PBE-GGA) on a geometry-optimized AcHo4Se5 structure.

```
AcHo4Se5
1.0
-2.048 2.949 10.434
2.048 -2.949 10.434
2.048 2.949 -10.434
Ac Ho Se
1 4 5
direct
0.000 0.000 0.000
0.206 0.206 0.000
0.401 0.401 0.000
0.599 0.599 0.000
0.794 0.794 0.000
0.112 0.612 0.500
0.303 0.803 0.500
0.500 0.000 0.500
0.697 0.197 0.500
0.888 0.388 0.500
```

## Properties
formation energy without anion corrections = -1.706 eV/atom
DFT total energy = -56.904 eV per cell
theoretical density = 8.44 g/cm³
DOS at the Fermi energy = 0.566 states/eV per atom
SG = No. 71


VASP calculation (PBE-GGA) on a geometry-optimized ScPaIr4 structure.

```
ScPaIr4
1.0
0.000 3.754 3.754
3.754 0.000 3.754
3.754 3.754 0.000
Sc Pa Ir
1 1 4
direct
0.000 0.000 0.000
0.750 0.750 0.750
0.374 0.374 0.374
0.374 0.374 0.877
0.374 0.877 0.374
0.877 0.374 0.374
```

## Properties
formation energy = -0.7550 eV per atom
DFT total energy = -55.801 eV per cell
theoretical density = 16.40 g/cm³
DOS at the Fermi energy = 1.176 states/eV per atom
SG = No. 216


VASP calculation (PBE-GGA) on a geometry-optimized Cr2PtBr structure.

```
Cr2PtBr
1.0
-3.024 3.024 5.747
3.024 -3.024 5.747
3.024 3.024 -5.747
Cr Pt Br
4 2 2
direct
0.103 0.625 0.978
0.375 0.353 0.478
0.647 0.125 0.022
0.875 0.897 0.522
0.000 0.000 0.000
0.750 0.250 0.500
0.250 0.750 0.500
0.500 0.500 0.000
```

## Properties
energy relative to the lowest polymorph listed for this composition = 0.4501 eV/atom
formation energy without anion corrections = 0.599 eV/atom
DFT total energy = -49.131 eV per cell
theoretical density = 5.99 g/cm³
DOS at the Fermi energy = 1.783 states/eV per atom
SG = No. 122


VASP calculation (PBE-GGA) on a geometry-optimized PmYAsP structure.

```
PmYAsP
1.0
4.135 0.000 0.000
0.000 4.135 0.000
0.000 0.000 5.831
Pm Y As P
1 1 1 1
direct
0.000 0.000 0.000
0.500 0.500 0.500
0.500 0.500 0.000
0.000 0.000 0.500
```

## Properties
formation energy = -1.5464 eV per atom
DFT total energy = -27.460 eV per cell
theoretical density = 5.66 g/cm³
DOS at the Fermi energy = 0.105 states/eV per atom
SG = No. 123


VASP calculation (PBE-GGA) on a geometry-optimized Sr3CaRh structure.

```
Sr3CaRh
1.0
4.468 2.580 5.926
-4.468 2.580 5.926
0.000 -5.160 5.926
Sr Ca Rh
6 2 2
direct
0.129 0.704 0.667
0.167 0.204 0.629
0.204 0.629 0.167
0.629 0.167 0.204
0.667 0.129 0.704
0.704 0.667 0.129
0.130 0.130 0.130
0.630 0.630 0.630
0.456 0.456 0.456
0.956 0.956 0.956
```

## Properties
energy relative to the lowest polymorph listed for this composition = 0.0972 eV/atom
formation energy = -0.1030 eV per atom
DFT total energy = -29.827 eV per cell
theoretical density = 3.29 g/cm³
DOS at the Fermi energy = 0.795 states/eV per atom
SG = No. 161


VASP calculation (PBE-GGA) on a geometry-optimized RbLiDy2O4 structure.

```
RbLiDy2O4
1.0
1.742 -5.867 0.000
1.742 5.867 0.000
0.000 0.000 11.705
Rb Li Dy O
2 2 4 8
direct
0.099 0.901 0.750
0.901 0.099 0.250
0.181 0.819 0.250
0.819 0.181 0.750
0.365 0.635 0.559
0.365 0.635 0.941
0.635 0.365 0.059
0.635 0.365 0.441
0.000 0.000 0.000
0.000 0.000 0.500
0.250 0.750 0.099
0.250 0.750 0.401
0.398 0.602 0.750
0.602 0.398 0.250
0.750 0.250 0.599
0.750 0.250 0.901
```

## Properties
formation energy without anion corrections = -2.829 eV/atom
DFT total energy = -109.093 eV per cell
theoretical density = 6.68 g/cm³
DOS at the Fermi energy = 0.000 states/eV per atom
SG = No. 63


VASP calculation (PBE-GGA) on a geometry-optimized Ac2NdGd structure.

```
Ac2NdGd
1.0
3.855 0.000 0.000
0.000 3.855 0.000
0.000 0.000 10.526
Ac Nd Gd
2 1 1
direct
0.000 0.000 0.248
0.000 0.000 0.752
0.500 0.500 0.500
0.500 0.500 0.000
```

## Properties
energy relative to the lowest polymorph listed for this composition = 0.0049 eV/atom
formation energy = 0.0318 eV per atom
DFT total energy = -26.938 eV per cell
theoretical density = 8.02 g/cm³
DOS at the Fermi energy = 1.666 states/eV per atom
SG = No. 123


VASP calculation (PBE-GGA) on a geometry-optimized AlReAs2 structure.

```
AlReAs2
1.0
0.000 3.152 3.152
3.152 0.000 3.152
3.152 3.152 0.000
Al Re As
1 1 2
direct
0.000 0.000 0.000
0.500 0.500 0.500
0.250 0.250 0.250
0.750 0.750 0.750
```

## Properties
energy relative to the lowest polymorph listed for this composition = 0.2392 eV/atom
formation energy = 0.2724 eV per atom
DFT total energy = -24.400 eV per cell
theoretical density = 9.63 g/cm³
DOS at the Fermi energy = 0.739 states/eV per atom
SG = No. 225